Record 1
MnCu2Mo | the Alexandria database | PBE-GGA | relaxed; energy of formation from the pure elements = 0.25 eV/atom
1.0
2.682 0.000 0.000
0.000 2.682 0.000
0.000 0.000 7.443
Mn Cu Mo
1 2 1
Direct
0.000 0.000 0.000 Mn
0.500 0.500 0.238 Cu
0.500 0.500 0.762 Cu
0.000 0.000 0.500 Mo

---

Record 2
MnCu2Mo | the Alexandria database | PBE-GGA | relaxed; energy of formation from the pure elements = 0.25 eV/atom
1.0
-1.868 1.868 3.710
1.868 -1.868 3.710
1.868 1.868 -3.710
Mn Cu Mo
1 2 1
Direct
0.000 0.000 0.000 Mn
0.500 0.500 0.000 Cu
0.750 0.250 0.500 Cu
0.250 0.750 0.500 Mo

---

Record 3
MnCu2Mo | the Alexandria database | PBE-GGA | relaxed; energy of formation from the pure elements = 0.32 eV/atom
1.0
1.336 0.771 8.771
-1.336 0.771 8.771
0.000 -1.542 8.771
Mn Cu Mo
1 2 1
Direct
0.000 0.000 0.000 Mn
0.253 0.253 0.253 Cu
0.747 0.747 0.747 Cu
0.500 0.500 0.500 Mo

---

Record 4
MnCuMo2N | the Alexandria database | PBE-GGA | relaxed; formation energy (no corrections) = -3.1 kJ/mol of atoms
1.0
4.104 0.000 0.000
0.000 4.104 0.000
0.000 0.000 3.800
Mn Cu Mo N
1 1 2 1
Direct
0.000 0.000 0.000 Mn
0.500 0.500 0.000 Cu
0.000 0.500 0.500 Mo
0.500 0.000 0.500 Mo
0.000 0.000 0.500 N

---

Record 5
MnCuMoPt | the Alexandria database | PBE-GGA | relaxed; energy of formation from the pure elements = 0.02 eV/atom
1.0
0.000 3.038 3.038
3.038 0.000 3.038
3.038 3.038 0.000
Mn Cu Mo Pt
1 1 1 1
Direct
0.000 0.000 0.000 Mn
0.500 0.500 0.500 Cu
0.250 0.250 0.250 Mo
0.750 0.750 0.750 Pt

---

Record 6
MnCuSbMo2 | the Alexandria database | PBE-GGA | relaxed; formation energy (no corrections) = 211.9 kJ/mol of atoms
1.0
4.947 0.000 0.000
0.000 4.947 0.000
0.000 0.000 4.478
Mn Cu Sb Mo
1 1 1 2
Direct
0.000 0.000 0.000 Mn
0.500 0.500 0.000 Cu
0.500 0.500 0.500 Sb
0.000 0.500 0.500 Mo
0.500 0.000 0.500 Mo

---

Record 7
TiMnCuMo | the Alexandria database | PBE-GGA | relaxed; energy of formation from the pure elements = 0.04 eV/atom
1.0
0.000 3.017 3.017
3.017 0.000 3.017
3.017 3.017 0.000
Ti Mn Cu Mo
1 1 1 1
Direct
0.000 0.000 0.000 Ti
0.750 0.750 0.750 Mn
0.250 0.250 0.250 Cu
0.500 0.500 0.500 Mo

---

Record 8
MnZnCu2Mo | the Alexandria database | PBE-GGA | relaxed; energy of formation from the pure elements = 1.44 eV/atom
1.0
4.636 0.000 0.000
0.000 4.636 0.000
0.000 0.000 4.849
Mn Zn Cu Mo
1 1 2 1
Direct
0.000 0.000 0.000 Mn
0.500 0.500 0.000 Zn
0.000 0.500 0.500 Cu
0.500 0.000 0.500 Cu
0.500 0.500 0.500 Mo

---

Record 9
MnCu3N | the Alexandria database | PBE-GGA | relaxed; formation energy (no corrections) = 226.7 kJ/mol of atoms
1.0
4.419 0.000 0.000
0.000 4.419 0.000
0.000 0.000 4.419
Mn Cu N
1 3 1
Direct
0.000 0.000 0.000 Mn
0.000 0.000 0.500 Cu
0.000 0.500 0.000 Cu
0.500 0.000 0.000 Cu
0.500 0.500 0.500 N

---

Record 10
MnCu2N | the Alexandria database | PBE-GGA | relaxed; formation energy (no corrections) = 37.2 kJ/mol of atoms
1.0
-3.529 3.529 1.922
3.529 -3.529 1.922
3.529 3.529 -1.922
Mn Cu N
2 4 2
Direct
0.000 0.000 0.000 Mn
0.750 0.250 0.500 Mn
0.232 0.625 0.107 Cu
0.375 0.482 0.607 Cu
0.518 0.125 0.893 Cu
0.875 0.768 0.393 Cu
0.250 0.750 0.500 N
0.500 0.500 0.000 N

---

Record 11
MnCuN | the Alexandria database | PBE-GGA | relaxed; formation energy (no corrections) = 19.4 kJ/mol of atoms
1.0
4.077 -1.433 0.000
4.077 1.433 0.000
-4.050 0.000 5.439
Mn Cu N
2 2 2
Direct
0.102 0.102 0.399 Mn
0.898 0.898 0.601 Mn
0.253 0.253 0.154 Cu
0.747 0.747 0.846 Cu
0.342 0.342 0.722 N
0.658 0.658 0.278 N

---

Record 12
MnCuN | the Alexandria database | PBE-GGA | relaxed; formation energy (no corrections) = 82.0 kJ/mol of atoms
1.0
-1.686 1.686 3.088
1.686 -1.686 3.088
1.686 1.686 -3.088
Mn Cu N
1 1 1
Direct
0.000 0.000 0.000 Mn
0.392 0.392 0.000 Cu
0.700 0.700 0.000 N

---

Number 1: size of the total moment 3.70 μB per cell, calculated volume 53.5 Å³/cell. Number 2: size of the total moment 0.97 μB per cell, calculated volume 51.8 Å³/cell. Number 3: size of the total moment 2.91 μB per cell, calculated volume 54.2 Å³/cell. Number 4: size of the total moment 2.28 μB per cell, calculated volume 64.0 Å³/cell. Number 5: size of the total moment 2.40 μB per cell, calculated volume 56.1 Å³/cell. Number 6: size of the total moment 1.39 μB per cell, calculated volume 109.6 Å³/cell. Number 7: size of the total moment 0.00 μB per cell, calculated volume 54.9 Å³/cell. Number 8: size of the total moment 4.09 μB per cell, calculated volume 104.2 Å³/cell. Number 9: size of the total moment 1.72 μB per cell, calculated volume 86.3 Å³/cell. Number 10: size of the total moment 6.78 μB per cell, calculated volume 95.8 Å³/cell. Number 11: size of the total moment 0.47 μB per cell, calculated volume 63.6 Å³/cell. Number 12: size of the total moment 3.64 μB per cell, calculated volume 35.1 Å³/cell.